(1)
# PrHo3S6 (PBE, optimized geometry)
data_PrHo3S6
_cell_length_a 11.070
_cell_length_b 3.991
_cell_length_c 11.345
_cell_angle_alpha 90.00
_cell_angle_beta 108.75
_cell_angle_gamma 90.00
_symmetry_space_group_name_H-M 'P 1'
_symmetry_Int_Tables_number 1
_symmetry_space_group_name_Hall 'P 1'
loop_
_atom_site_label
_atom_site_fract_x
_atom_site_fract_y
_atom_site_fract_z
Pr1 0.049 0.250 0.195
Pr2 0.951 0.750 0.805
Ho1 0.161 0.250 0.587
Ho2 0.320 0.750 0.998
Ho3 0.441 0.250 0.333
Ho4 0.559 0.750 0.667
Ho5 0.680 0.250 0.002
Ho6 0.839 0.750 0.413
S1 0.082 0.750 0.407
S2 0.119 0.250 0.963
S3 0.197 0.750 0.749
S4 0.265 0.750 0.228
S5 0.395 0.250 0.559
S6 0.478 0.250 0.111
S7 0.522 0.750 0.889
S8 0.605 0.750 0.441
S9 0.735 0.250 0.772
S10 0.803 0.250 0.251
S11 0.881 0.750 0.037
S12 0.918 0.250 0.593
# - space-group type = P2_1/m (11)
# - calculated total energy (eV/atom) = -6.42
# - volume (Å³ per atom) = 23.73
# - ρ (Mg/m³) = 5.8
# - E_form (uncorrected) (meV per atom) = -2090



(2)
# PrHo4S6 (PBE, optimized geometry)
data_PrHo4S6
_cell_length_a 6.697
_cell_length_b 6.697
_cell_length_c 19.869
_cell_angle_alpha 90.00
_cell_angle_beta 90.00
_cell_angle_gamma 146.42
_symmetry_space_group_name_H-M 'P 1'
_symmetry_Int_Tables_number 1
_symmetry_space_group_name_Hall 'P 1'
loop_
_atom_site_label
_atom_site_fract_x
_atom_site_fract_y
_atom_site_fract_z
Pr1 0.154 0.846 0.750
Pr2 0.846 0.154 0.250
Ho1 0.092 0.908 0.126
Ho2 0.092 0.908 0.374
Ho3 0.362 0.638 0.039
Ho4 0.362 0.638 0.461
Ho5 0.638 0.362 0.539
Ho6 0.638 0.362 0.961
Ho7 0.908 0.092 0.626
Ho8 0.908 0.092 0.874
S1 0.000 0.000 0.000
S2 0.000 0.000 0.500
S3 0.182 0.818 0.250
S4 0.268 0.732 0.588
S5 0.268 0.732 0.912
S6 0.453 0.547 0.164
S7 0.453 0.547 0.336
S8 0.547 0.453 0.664
S9 0.547 0.453 0.836
S10 0.732 0.268 0.088
S11 0.732 0.268 0.412
S12 0.818 0.182 0.750
# - space-group type = Cmcm (63)
# - calculated total energy (eV/atom) = -6.39
# - volume (Å³ per atom) = 22.41
# - ρ (Mg/m³) = 6.7
# - E_form (uncorrected) (meV per atom) = -2041



(3)
# PrHo5S6 (PBE, optimized geometry)
data_PrHo5S6
_cell_length_a 6.799
_cell_length_b 6.799
_cell_length_c 6.795
_cell_angle_alpha 99.58
_cell_angle_beta 99.58
_cell_angle_gamma 120.19
_symmetry_space_group_name_H-M 'P 1'
_symmetry_Int_Tables_number 1
_symmetry_space_group_name_Hall 'P 1'
loop_
_atom_site_label
_atom_site_fract_x
_atom_site_fract_y
_atom_site_fract_z
Pr1 0.000 0.000 0.000
Ho1 0.161 0.839 0.500
Ho2 0.334 0.666 0.000
Ho3 0.500 0.500 0.500
Ho4 0.666 0.334 0.000
Ho5 0.839 0.161 0.500
S1 0.086 0.431 0.258
S2 0.260 0.260 0.746
S3 0.431 0.086 0.258
S4 0.569 0.914 0.742
S5 0.740 0.740 0.254
S6 0.914 0.569 0.742
# - space-group type = C2/m (12)
# - calculated total energy (eV/atom) = -6.35
# - volume (Å³ per atom) = 21.33
# - ρ (Mg/m³) = 7.5
# - E_form (uncorrected) (meV per atom) = -1981



(4)
# PrHo2S4 (PBE, optimized geometry)
data_PrHo2S4
_cell_length_a 11.858
_cell_length_b 3.884
_cell_length_c 14.222
_cell_angle_alpha 90.00
_cell_angle_beta 90.00
_cell_angle_gamma 90.00
_symmetry_space_group_name_H-M 'P 1'
_symmetry_Int_Tables_number 1
_symmetry_space_group_name_Hall 'P 1'
loop_
_atom_site_label
_atom_site_fract_x
_atom_site_fract_y
_atom_site_fract_z
Pr1 0.243 0.250 0.167
Pr2 0.257 0.750 0.667
Pr3 0.743 0.250 0.333
Pr4 0.757 0.750 0.833
Ho1 0.065 0.250 0.390
Ho2 0.089 0.250 0.904
Ho3 0.411 0.750 0.404
Ho4 0.435 0.750 0.890
Ho5 0.565 0.250 0.110
Ho6 0.589 0.250 0.596
Ho7 0.911 0.750 0.096
Ho8 0.935 0.750 0.610
S1 0.031 0.750 0.783
S2 0.094 0.250 0.579
S3 0.131 0.750 0.035
S4 0.203 0.750 0.320
S5 0.297 0.250 0.820
S6 0.369 0.250 0.535
S7 0.406 0.750 0.079
S8 0.469 0.250 0.283
S9 0.531 0.750 0.717
S10 0.594 0.250 0.921
S11 0.631 0.750 0.465
S12 0.703 0.750 0.180
S13 0.797 0.250 0.680
S14 0.869 0.250 0.965
S15 0.906 0.750 0.421
S16 0.969 0.250 0.217
# - space-group type = Pnma (62)
# - calculated total energy (eV/atom) = -6.41
# - volume (Å³ per atom) = 23.39
# - relative energy among the computed polymorphs (eV per formula unit) = 0.10
# - ρ (Mg/m³) = 6.1
# - E_form (uncorrected) (meV per atom) = -2057



(5)
# Pr4Ho3S8 (PBE, optimized geometry)
data_Pr4Ho3S8
_cell_length_a 7.999
_cell_length_b 7.999
_cell_length_c 7.987
_cell_angle_alpha 119.91
_cell_angle_beta 119.91
_cell_angle_gamma 90.04
_symmetry_space_group_name_H-M 'P 1'
_symmetry_Int_Tables_number 1
_symmetry_space_group_name_Hall 'P 1'
loop_
_atom_site_label
_atom_site_fract_x
_atom_site_fract_y
_atom_site_fract_z
Pr1 0.000 0.000 0.000
Pr2 0.000 0.500 0.000
Pr3 0.500 0.000 0.000
Pr4 0.500 0.500 0.500
Ho1 0.000 0.500 0.500
Ho2 0.500 0.000 0.500
Ho3 0.500 0.500 0.000
S1 0.245 0.755 0.500
S2 0.251 0.251 0.513
S3 0.253 0.253 0.992
S4 0.257 0.743 0.000
S5 0.743 0.257 0.000
S6 0.747 0.747 0.008
S7 0.749 0.749 0.487
S8 0.755 0.245 0.500
# - space-group type = C2/m (12)
# - calculated total energy (eV/atom) = -6.39
# - volume (Å³ per atom) = 24.15
# - relative energy among the computed polymorphs (eV per formula unit) = 0.00
# - ρ (Mg/m³) = 6.0
# - E_form (uncorrected) (meV per atom) = -2002



(6)
# PrHo6S8 (PBE, optimized geometry)
data_PrHo6S8
_cell_length_a 7.784
_cell_length_b 7.784
_cell_length_c 7.784
_cell_angle_alpha 60.00
_cell_angle_beta 60.00
_cell_angle_gamma 60.00
_symmetry_space_group_name_H-M 'P 1'
_symmetry_Int_Tables_number 1
_symmetry_space_group_name_Hall 'P 1'
loop_
_atom_site_label
_atom_site_fract_x
_atom_site_fract_y
_atom_site_fract_z
Pr1 0.000 0.000 0.000
Ho1 0.000 0.000 0.500
Ho2 0.000 0.500 0.000
Ho3 0.000 0.500 0.500
Ho4 0.500 0.000 0.000
Ho5 0.500 0.000 0.500
Ho6 0.500 0.500 0.000
S1 0.250 0.250 0.250
S2 0.260 0.260 0.740
S3 0.260 0.740 0.260
S4 0.260 0.740 0.740
S5 0.740 0.260 0.260
S6 0.740 0.260 0.740
S7 0.740 0.740 0.260
S8 0.750 0.750 0.750
# - space-group type = Fm-3m (225)
# - calculated total energy (eV/atom) = -6.37
# - volume (Å³ per atom) = 22.24
# - ρ (Mg/m³) = 6.9
# - E_form (uncorrected) (meV per atom) = -2015